# LaRe2Ni

A relaxed LaRe2Ni crystal (PBE, the Alexandria database).

Calculated values
**V**: 16.96 Å³ per atom
**Space group**: P4/mmm, No. 123
**Total moment**: 0.0 Bohr magnetons per cell
**ΔH_f (0 K)**: 11.38 kcal/mol of atoms

Lattice parameters (Å, degrees): 2.7600 2.7600 8.9037 90.00 90.00 90.00
Closest atoms and distances in Å follow each position.
Element x y z (fractional)
La 0.0000 0.0000 0.0000  4 La 2.76
Re 0.5000 0.5000 0.3030  4 Ni 2.62, 4 Re 2.76
Re 0.5000 0.5000 0.6970  4 Ni 2.62, 4 Re 2.76
Ni 0.0000 0.0000 0.5000  8 Re 2.62, 4 Ni 2.76

# HoAl2B6

A relaxed HoAl2B6 crystal (PBE, the Alexandria database).

Calculated values
**V**: 9.81 Å³ per atom
**Space group**: P6/mmm, No. 191
**Total moment**: 0.0 Bohr magnetons per cell
**ΔH_f (0 K)**: -4.34 kcal/mol of atoms

Lattice parameters (Å, degrees): 5.3758 5.3758 3.5263 90.00 90.00 120.00
Closest atoms and distances in Å follow each position.
Element x y z (fractional)
Ho 0.0000 0.0000 0.0000  12 B 2.54
Al 0.3333 0.6667 0.0000  12 B 2.50
Al 0.6667 0.3333 0.0000  12 B 2.50
B 0.0000 0.3390 0.5000  3 B 1.73-1.82
B 0.0000 0.6610 0.5000  3 B 1.73-1.82
B 0.3390 0.0000 0.5000  3 B 1.73-1.82
B 0.3390 0.3390 0.5000  3 B 1.73-1.82
B 0.6610 0.0000 0.5000  3 B 1.73-1.82
B 0.6610 0.6610 0.5000  3 B 1.73-1.82

# Sc3RhBr3

A relaxed Sc3RhBr3 crystal (PBE, the Alexandria database).

Calculated values
**Calculated total energy**: -5.74 eV/atom
**V**: 25.14 Å³ per atom
**Space group**: P2_1/m, No. 11
**Total moment**: 0.0 Bohr magnetons per cell

Lattice parameters (Å, degrees): 8.0911 3.8655 11.2628 90.00 92.59 90.00
Closest atoms and distances in Å follow each position.
Element x y z (fractional)
Sc 0.0985 0.2500 0.3242  1 Rh 2.60, 4 Br 2.76-2.84
Sc 0.1489 0.2500 0.8608  3 Rh 2.60-2.78, 1 Br 2.87
Sc 0.2655 0.7500 0.1036  2 Rh 2.59, 1 Br 2.89
Sc 0.7345 0.2500 0.8964  2 Rh 2.59, 1 Br 2.89
Sc 0.8511 0.7500 0.1392  3 Rh 2.60-2.78, 1 Br 2.87
Sc 0.9015 0.7500 0.6758  1 Rh 2.60, 4 Br 2.76-2.84
Rh 0.0530 0.2500 0.0945  6 Sc 2.59-2.78
Rh 0.9470 0.7500 0.9055  6 Sc 2.59-2.78
Br 0.1348 0.2500 0.6058  4 Sc 2.84-3.17
Br 0.3394 0.7500 0.3573  3 Sc 2.76-2.89
Br 0.4258 0.7500 0.8691  5 Sc 2.96-3.16
Br 0.5742 0.2500 0.1309  5 Sc 2.96-3.16
Br 0.6606 0.2500 0.6427  3 Sc 2.76-2.89
Br 0.8652 0.7500 0.3942  4 Sc 2.84-3.17

# AcGd2Ga

A relaxed AcGd2Ga crystal (PBE, the Alexandria database).

Calculated values
**V**: 33.34 Å³ per atom
**Space group**: R-3m, No. 166
**Total moment**: 44.2 Bohr magnetons per cell
**ΔH_f (0 K)**: -0.74 kcal/mol of atoms

Lattice parameters (Å, degrees): 3.6559 3.6559 34.5606 90.00 90.00 120.00
Closest atoms and distances in Å follow each position.
Element x y z (fractional)
Ac 0.0000 0.0000 0.0000  2 Gd 3.63, 6 Ac 3.66
Ac 0.3333 0.6667 0.6667  2 Gd 3.63, 6 Ac 3.66
Ac 0.6667 0.3333 0.3333  2 Gd 3.63, 6 Ac 3.66
Gd 0.0000 0.0000 0.1052  3 Ga 3.00
Gd 0.0000 0.0000 0.8948  3 Ga 3.00
Gd 0.3333 0.6667 0.5615  3 Ga 3.00
Gd 0.3333 0.6667 0.7718  3 Ga 3.00
Gd 0.6667 0.3333 0.2282  3 Ga 3.00
Gd 0.6667 0.3333 0.4385  3 Ga 3.00
Ga 0.0000 0.0000 0.5000  6 Gd 3.00
Ga 0.3333 0.6667 0.1667  6 Gd 3.00
Ga 0.6667 0.3333 0.8333  6 Gd 3.00

# PuMgBr6

A relaxed PuMgBr6 crystal (PBE, the Alexandria database).

Calculated values
**Calculated total energy**: -4.54 eV/atom
**V**: 32.48 Å³ per atom
**Space group**: R-3, No. 148
**Total moment**: 4.0 Bohr magnetons per cell

Lattice parameters (Å, degrees): 7.4555 7.4555 7.4555 55.13 55.13 55.13
Closest atoms and distances in Å follow each position.
Element x y z (fractional)
Pu 0.0000 0.0000 0.0000  6 Br 2.78
Mg 0.5000 0.5000 0.5000  6 Br 2.71
Br 0.1025 0.4045 0.7487  1 Mg 2.71, 1 Pu 2.78
Br 0.2513 0.8975 0.5955  1 Mg 2.71, 1 Pu 2.78
Br 0.4045 0.7487 0.1025  1 Mg 2.71, 1 Pu 2.78
Br 0.5955 0.2513 0.8975  1 Mg 2.71, 1 Pu 2.78
Br 0.7487 0.1025 0.4045  1 Mg 2.71, 1 Pu 2.78
Br 0.8975 0.5955 0.2513  1 Mg 2.71, 1 Pu 2.78